(1)
Below is crystalline GeTeWI2 at its relaxed geometry, with properties calculated at the PBE-GGA level.

## Properties
- uncorrected formation energy (eV/atom) = 0.850
- energy above the lowest structure with this stoichiometry (kJ per mole of atoms) = 0.0
- SG = P4/mmm (123)
- DOS at the Fermi energy (states/eV per atom) = 0.6163

Unit cell a=5.571 b=5.571 c=5.301 alpha=90.00 beta=90.00 gamma=90.00
Positions (direct):
I  0.000  0.500  0.000
Ge  0.500  0.500  0.500
Te  0.000  0.000  0.500
I  0.500  0.000  0.000
W  0.000  0.000  0.000

***

(2)
Below is crystalline MnCd2Ag at its relaxed geometry, with properties calculated at the PBE-GGA level.

## Properties
- uncorrected energy (eV per atom) = -3.30
- SG = R-3m (166)
- DOS at the Fermi energy (states/eV per atom) = 0.4972

Unit cell a=9.737 b=9.737 c=9.737 alpha=17.79 beta=17.79 gamma=17.79
Positions (direct):
Ag  0.750  0.750  0.750
Cd  0.998  0.998  0.998
Mn  0.250  0.250  0.250
Cd  0.502  0.502  0.502

***

(3)
Below is crystalline KMgCrAs at its relaxed geometry, with properties calculated at the PBE-GGA level.

## Properties
- energy above the lowest structure with this stoichiometry (kJ per mole of atoms) = 7.5
- SG = Pm (6)
- DOS at the Fermi energy (states/eV per atom) = 0.5238

Unit cell a=3.661 b=3.595 c=8.646 alpha=90.00 beta=102.72 gamma=90.00
Positions (direct):
K  0.695  0.000  0.354
Cr  0.026  0.500  0.991
As  0.510  0.000  0.958
Mg  0.373  0.500  0.698

***

(4)
Below is crystalline TlBr2Cl at its relaxed geometry, with properties calculated at the PBE-GGA level.

## Properties
- uncorrected formation energy (eV/atom) = -0.345
- energy above the lowest structure with this stoichiometry (kJ per mole of atoms) = 15.3
- SG = P4mm (99)
- DOS at the Fermi energy (states/eV per atom) = 0.6583

Unit cell a=4.136 b=4.136 c=8.698 alpha=90.00 beta=90.00 gamma=90.00
Positions (direct):
Br  0.500  0.500  0.114
Cl  0.000  0.000  0.590
Br  0.000  0.000  0.113
Tl  0.500  0.500  0.684

***

(5)
Below is crystalline CeSm2Cd5 at its relaxed geometry, with properties calculated at the PBE-GGA level.

## Properties
- uncorrected energy (eV per atom) = -2.76
- SG = I4/mmm (139)
- DOS at the Fermi energy (states/eV per atom) = 1.2992

Unit cell a=5.241 b=5.241 c=8.460 alpha=108.05 beta=108.05 gamma=90.00
Positions (direct):
Cd  0.119  0.619  0.239
Sm  0.265  0.265  0.530
Cd  0.381  0.881  0.761
Sm  0.735  0.735  0.470
Cd  0.619  0.119  0.239
Cd  0.881  0.381  0.761
Cd  0.500  0.500  0.000
Ce  0.000  0.000  0.000

***

(6)
Below is crystalline TeP2Pb at its relaxed geometry, with properties calculated at the PBE-GGA level.

## Properties
- uncorrected formation energy (eV/atom) = 0.147
- energy above the lowest structure with this stoichiometry (kJ per mole of atoms) = 3.8
- SG = R3m (160)
- DOS at the Fermi energy (states/eV per atom) = 0.0850

Unit cell a=7.501 b=7.501 c=7.501 alpha=30.70 beta=30.70 gamma=30.70
Positions (direct):
Pb  0.503  0.503  0.503
Te  0.742  0.742  0.742
P  0.272  0.272  0.272
P  0.983  0.983  0.983

***

(7)
Below is crystalline Th3In3Ag2Os at its relaxed geometry, with properties calculated at the PBE-GGA level.

## Properties
- uncorrected energy (eV per atom) = -5.45
- SG = P-62m (189)
- DOS at the Fermi energy (states/eV per atom) = 0.9223

Unit cell a=3.830 b=8.387 c=8.387 alpha=120.00 beta=90.00 gamma=90.00
Positions (direct):
Th  0.500  0.261  0.261
Ag  0.500  0.333  0.667
Os  0.000  0.000  0.000
In  0.000  0.397  0.000
Th  0.500  0.739  0.000
Th  0.500  0.000  0.739
Ag  0.500  0.667  0.333
In  0.000  0.000  0.397
In  0.000  0.603  0.603

***

(8)
Below is crystalline SmGd4Ho at its relaxed geometry, with properties calculated at the PBE-GGA level.

## Properties
- uncorrected energy (eV per atom) = -10.68
- SG = F-43m (216)
- DOS at the Fermi energy (states/eV per atom) = 1.9938

Unit cell a=6.590 b=6.590 c=6.590 alpha=60.00 beta=60.00 gamma=60.00
Positions (direct):
Gd  0.625  0.124  0.625
Gd  0.625  0.625  0.625
Gd  0.124  0.625  0.625
Gd  0.625  0.625  0.124
Sm  0.250  0.250  0.250
Ho  0.000  0.000  0.000

***

(9)
Below is crystalline LaOs2SBr at its relaxed geometry, with properties calculated at the PBE-GGA level.

## Properties
- uncorrected formation energy (eV/atom) = 1.069
- SG = P4/mmm (123)
- DOS at the Fermi energy (states/eV per atom) = 0.9181

Unit cell a=4.462 b=6.028 c=4.462 alpha=90.00 beta=90.00 gamma=90.00
Positions (direct):
Os  0.000  0.000  0.500
Br  0.000  0.000  0.000
Os  0.500  0.000  0.000
La  0.500  0.500  0.500
S  0.000  0.500  0.000

***

(10)
Below is crystalline AgGe2Br6 at its relaxed geometry, with properties calculated at the PBE-GGA level.

## Properties
- uncorrected formation energy (eV/atom) = -0.455
- SG = C2/c (15)
- DOS at the Fermi energy (states/eV per atom) = 0.3828

Unit cell a=9.964 b=10.152 c=10.152 alpha=80.43 beta=61.04 gamma=61.04
Positions (direct):
Br  0.500  0.351  0.384
Ge  0.717  0.729  0.620
Br  0.218  0.114  0.594
Br  0.978  0.166  0.078
Ge  0.783  0.380  0.271
Ge  0.217  0.620  0.729
Br  0.022  0.834  0.922
Ag  0.250  0.185  0.815
Br  0.500  0.649  0.616
Ge  0.283  0.271  0.380
Br  0.718  0.594  0.114
Ag  0.750  0.815  0.185
Br  0.522  0.922  0.834
Br  0.000  0.616  0.649
Br  0.782  0.886  0.406
Br  0.000  0.384  0.351
Br  0.282  0.406  0.886
Br  0.478  0.078  0.166

***

(11)
Below is crystalline AcEuPdPt at its relaxed geometry, with properties calculated at the PBE-GGA level.

## Properties
- uncorrected energy (eV per atom) = -7.27
- SG = F-43m (216)
- DOS at the Fermi energy (states/eV per atom) = 2.1751

Unit cell a=5.236 b=5.236 c=5.236 alpha=60.00 beta=60.00 gamma=60.00
Positions (direct):
Ac  0.500  0.500  0.500
Pt  0.750  0.750  0.750
Pd  0.250  0.250  0.250
Eu  0.000  0.000  0.000

***

(12)
Below is crystalline LaCeEr2Bi4 at its relaxed geometry, with properties calculated at the PBE-GGA level.

## Properties
- uncorrected energy (eV per atom) = -5.31
- SG = P2/m (10)
- DOS at the Fermi energy (states/eV per atom) = 0.8622

Unit cell a=4.563 b=7.857 c=7.903 alpha=70.45 beta=90.00 gamma=90.00
Positions (direct):
Ce  0.000  0.500  0.500
Bi  0.500  0.239  0.751
Bi  0.500  0.761  0.249
Bi  0.000  0.763  0.743
Er  0.000  0.000  0.000
La  0.500  0.500  0.000
Bi  0.000  0.237  0.257
Er  0.500  0.000  0.500

***

(13)
Below is crystalline HfAlO2 at its relaxed geometry, with properties calculated at the PBE-GGA level.

## Properties
- uncorrected formation energy (eV/atom) = -1.868
- SG = I-42d (122)
- DOS at the Fermi energy (states/eV per atom) = 0.8034

Unit cell a=4.763 b=4.763 c=5.670 alpha=65.17 beta=65.17 gamma=90.00
Positions (direct):
O  0.554  0.125  0.250
Hf  0.000  0.000  0.000
Al  0.500  0.500  0.000
Hf  0.750  0.250  0.500
O  0.196  0.625  0.250
Al  0.250  0.750  0.500
O  0.875  0.804  0.750
O  0.375  0.446  0.750